The following is a DFT calculation (PBE) of crystalline HoEr4Bi5 at its relaxed geometry.

Calculated values
formation energy from the elements = -818 meV per atom
SG = No. 71

POSCAR file:
```
HoEr4Bi5
1.0
-2.2234 3.1417 11.1149
2.2234 -3.1417 11.1149
2.2234 3.1417 -11.1149
Ho Er Bi
1 4 5
direct
0.0000 0.0000 0.0000
0.2002 0.2002 0.0000
0.4000 0.4000 0.0000
0.6000 0.6000 0.0000
0.7998 0.7998 0.0000
0.1004 0.6004 0.5000
0.3001 0.8001 0.5000
0.5000 0.0000 0.5000
0.6999 0.1999 0.5000
0.8996 0.3996 0.5000
```

The following is a DFT calculation (PBE) of crystalline HoZnPtRh at its relaxed geometry.

Calculated values
relative energy among the computed polymorphs = 54 meV/atom
formation energy from the elements = -784 meV per atom
SG = No. 216

POSCAR file:
```
HoZnPtRh
1.0
0.0000 3.2539 3.2539
3.2539 0.0000 3.2539
3.2539 3.2539 0.0000
Ho Zn Pt Rh
1 1 1 1
direct
0.0000 0.0000 0.0000
0.5000 0.5000 0.5000
0.7500 0.7500 0.7500
0.2500 0.2500 0.2500
```

The following is a DFT calculation (PBE) of crystalline K2InSiTe4 at its relaxed geometry.

Calculated values
formation energy from raw total energies = -0.36 eV/atom
SG = No. 74

POSCAR file:
```
K2InSiTe4
1.0
-4.4323 4.6060 6.4383
4.4323 -4.6060 6.4383
4.4323 4.6060 -6.4383
K In Si Te
4 2 2 8
direct
0.0000 0.0000 0.0000
0.5000 0.0000 0.0000
0.5000 0.0000 0.5000
0.5000 0.5000 0.5000
0.0000 0.5000 0.5000
0.5000 0.5000 0.0000
0.0000 0.0000 0.5000
0.0000 0.5000 0.0000
0.1954 0.7403 0.4551
0.2149 0.2597 0.9551
0.2285 0.2539 0.5254
0.2285 0.7030 0.9746
0.7715 0.2970 0.0254
0.7715 0.7461 0.4746
0.7851 0.7403 0.0449
0.8046 0.2597 0.5449
```

The following is a DFT calculation (PBE) of crystalline K2Ba2SbO6 at its relaxed geometry.

Calculated values
formation energy from raw total energies = -1.80 eV/atom
SG = No. 12

POSCAR file:
```
K2Ba2SbO6
1.0
3.3064 -5.5947 0.0000
3.3064 5.5947 0.0000
-1.6865 0.0000 6.4623
K Ba Sb O
2 2 1 6
direct
0.1450 0.8550 0.0000
0.8550 0.1450 0.0000
0.3397 0.6603 0.5000
0.6603 0.3397 0.5000
0.0000 0.0000 0.5000
0.0378 0.3046 0.6738
0.2043 0.2043 0.3164
0.3046 0.0378 0.6738
0.6954 0.9622 0.3262
0.7957 0.7957 0.6836
0.9622 0.6954 0.3262
```

The following is a DFT calculation (PBE) of crystalline TcBiRu2F at its relaxed geometry.

Calculated values
formation energy from raw total energies = 2.01 eV/atom
SG = No. 123

POSCAR file:
```
TcBiRu2F
1.0
5.0684 0.0000 0.0000
0.0000 5.0684 0.0000
0.0000 0.0000 5.2904
Tc Bi Ru F
1 1 2 1
direct
0.0000 0.0000 0.0000
0.0000 0.0000 0.5000
0.0000 0.5000 0.5000
0.5000 0.0000 0.5000
0.5000 0.5000 0.0000
```

The following is a DFT calculation (PBE) of crystalline TbTm2H8 at its relaxed geometry.

Calculated values
total DFT energy (no corrections) = -4.296 eV per atom
SG = No. 71

POSCAR file:
```
TbTm2H8
1.0
-1.7924 2.5517 5.3806
1.7924 -2.5517 5.3806
1.7924 2.5517 -5.3806
Tb Tm H
1 2 8
direct
0.0000 0.0000 0.0000
0.3312 0.3312 0.0000
0.6688 0.6688 0.0000
0.0991 0.8361 0.2630
0.1566 0.6566 0.5000
0.2773 0.5000 0.7773
0.4269 0.1639 0.2630
0.5731 0.8361 0.7370
0.7227 0.5000 0.2227
0.8434 0.3434 0.5000
0.9009 0.1639 0.7370
```

The following is a DFT calculation (PBE) of crystalline Zr2FeOs at its relaxed geometry.

Calculated values
formation energy from the elements = 301 meV per atom
SG = No. 122

POSCAR file:
```
Zr2FeOs
1.0
-3.5813 3.5813 2.8456
3.5813 -3.5813 2.8456
3.5813 3.5813 -2.8456
Zr Fe Os
4 2 2
direct
0.1194 0.6250 0.9944
0.3750 0.3694 0.4944
0.6306 0.1250 0.0056
0.8750 0.8806 0.5056
0.0000 0.0000 0.0000
0.7500 0.2500 0.5000
0.2500 0.7500 0.5000
0.5000 0.5000 0.0000
```

The following is a DFT calculation (PBE) of crystalline NpBiRhAu at its relaxed geometry.

Calculated values
formation energy from the elements = -71 meV per atom
SG = No. 216

POSCAR file:
```
NpBiRhAu
1.0
0.0000 3.5112 3.5112
3.5112 0.0000 3.5112
3.5112 3.5112 0.0000
Np Bi Rh Au
1 1 1 1
direct
0.0000 0.0000 0.0000
0.5000 0.5000 0.5000
0.7500 0.7500 0.7500
0.2500 0.2500 0.2500
```

The following is a DFT calculation (PBE) of crystalline Sm5Er12Th2 at its relaxed geometry.

Calculated values
relative energy among the computed polymorphs = 151 meV/atom
formation energy from the elements = 311 meV per atom
SG = No. 12

POSCAR file:
```
Sm5Er12Th2
1.0
8.5831 -3.5480 0.0000
8.5831 3.5480 0.0000
-2.8250 0.0000 10.3865
Sm Er Th
5 12 2
direct
0.0000 0.0000 0.0000
0.2447 0.2447 0.0067
0.2703 0.2703 0.5053
0.7297 0.7297 0.4947
0.7553 0.7553 0.9933
0.0324 0.0324 0.3028
0.0837 0.6004 0.2735
0.1134 0.5869 0.8120
0.3996 0.9163 0.7265
0.4131 0.8866 0.1880
0.4704 0.4704 0.1517
0.5296 0.5296 0.8483
0.5869 0.1134 0.8120
0.6004 0.0837 0.2735
0.8866 0.4131 0.1880
0.9163 0.3996 0.7265
0.9676 0.9676 0.6972
0.2939 0.7061 0.5000
0.7061 0.2939 0.5000
```

The following is a DFT calculation (PBE) of crystalline La2CeSmTl4 at its relaxed geometry.

Calculated values
formation energy from the elements = -350 meV per atom
SG = No. 166

POSCAR file:
```
La2CeSmTl4
1.0
2.7848 1.6078 9.1088
-2.7848 1.6078 9.1088
0.0000 -3.2156 9.1088
La Ce Sm Tl
2 1 1 4
direct
0.2504 0.2504 0.2504
0.7496 0.7496 0.7496
0.5000 0.5000 0.5000
0.0000 0.0000 0.0000
0.1246 0.1246 0.1246
0.3746 0.3746 0.3746
0.6254 0.6254 0.6254
0.8754 0.8754 0.8754
```

The following is a DFT calculation (PBE) of crystalline Cr2SbP at its relaxed geometry.

Calculated values
formation energy from raw total energies = 0.17 eV/atom
SG = No. 38

POSCAR file:
```
Cr2SbP
1.0
4.4210 0.0000 0.0000
0.0000 1.6254 4.5761
0.0000 -1.6254 4.5761
Cr Sb P
2 1 1
direct
0.0000 0.0000 0.0000
0.5000 0.3567 0.3567
0.0000 0.7279 0.7279
0.5000 0.0588 0.0588
```

The following is a DFT calculation (PBE) of crystalline Pu2TcH4 at its relaxed geometry.

Calculated values
total DFT energy (no corrections) = -7.684 eV per atom
SG = No. 139

POSCAR file:
```
Pu2TcH4
1.0
-1.8575 1.8575 5.9429
1.8575 -1.8575 5.9429
1.8575 1.8575 -5.9429
Pu Tc H
2 1 4
direct
0.1440 0.1440 0.0000
0.8560 0.8560 0.0000
0.5000 0.5000 0.0000
0.0000 0.5000 0.5000
0.3463 0.3463 0.0000
0.5000 0.0000 0.5000
0.6537 0.6537 0.0000
```

The following is a DFT calculation (PBE) of crystalline HfPa2Ti at its relaxed geometry.

Calculated values
relative energy among the computed polymorphs = 204 meV/atom
formation energy from the elements = 336 meV per atom
SG = No. 225

POSCAR file:
```
HfPa2Ti
1.0
0.0000 3.5837 3.5837
3.5837 0.0000 3.5837
3.5837 3.5837 0.0000
Hf Pa Ti
1 2 1
direct
0.0000 0.0000 0.0000
0.2500 0.2500 0.2500
0.7500 0.7500 0.7500
0.5000 0.5000 0.5000
```

In Å³/cell, the V values for the records above are, in order, 310.6 68.9 525.7 239.1 135.9 98.4 146.0 86.6 632.6 244.7 65.8 82.0 92.1.